The following is a GGA-PBE calculation of an optimized crystal structure of ThGa2Co2Ru, from Alexandria via LeMat-Bulk.

Cell lengths 4.700, 4.700, 5.191 Å; angles 90.00, 90.00, 90.00 degrees
Atoms (fractional coordinates):
Ga: 0.000 0.500 0.000
Ru: 0.000 0.000 0.000
Co: 0.500 0.500 0.271
Co: 0.500 0.500 0.729
Th: 0.000 0.000 0.500
Ga: 0.500 0.000 0.000

Output
**Theoretical density**: 8.6 Mg/m³
**DFT total energy**: -6.090 eV/atom
**Density of states at the Fermi level**: 5.7 states/eV/cell
**Formation energy**: 0.0698 eV/atom
**Magnetization**: 2.589 μB per cell

***

The following is a GGA-PBE calculation of an optimized crystal structure of Ca3PbSe, from Alexandria via LeMat-Bulk.

Cell lengths 5.871, 5.871, 5.871 Å; angles 90.00, 90.00, 90.00 degrees
Atoms (fractional coordinates):
Ca: 0.000 0.000 0.500
Pb: 0.000 0.000 0.000
Ca: 0.500 0.000 0.000
Ca: 0.000 0.500 0.000
Se: 0.500 0.500 0.500

Output
**Theoretical density**: 3.3 Mg/m³
**ΔE to the lowest computed polymorph**: 526 meV per atom
**DFT total energy**: -3.041 eV/atom
**Density of states at the Fermi level**: 0.0 states/eV/cell
**Energy relative to the elements, uncorrected**: -0.40 eV per atom
**Magnetization**: 0.000 μB per cell